No. 1
Density functional theory data (PBE) for crystalline SrCa3U2N6 at its relaxed geometry.

Unit cell a=15.324 b=3.568 c=7.089 alpha=90.00 beta=102.50 gamma=90.00
Space group C2/m (No. 12)
Asymmetric unit:
Sr  0.000  0.000  0.000
Ca  0.000  0.000  0.500
Ca  0.169  0.500  0.836
U  0.167  0.500  0.332
N  0.027  0.500  0.278
N  0.172  0.000  0.122
N  0.182  0.000  0.570

The total magnetization is 4.0 μB/cell. The calculation puts the density of states at the Fermi level at 12.50 states/eV/cell. The value obtained for the formation energy (no corrections) is -14.6 eV/f.u. Its crystal system is monoclinic.


No. 2
Density functional theory data (PBE) for crystalline Sr2CaVN4 at its relaxed geometry.

Unit cell a=7.689 b=6.766 c=5.634 alpha=90.00 beta=90.00 gamma=90.00
Space group Pmn2_1 (No. 31)
Asymmetric unit:
Sr  0.245  0.179  0.000
Ca  0.000  0.358  0.507
V  0.000  0.673  0.036
N  0.000  0.416  0.929
N  0.000  0.664  0.351
N  0.208  0.800  0.961

The total magnetization is 2.0 μB/cell. The calculation puts the density of states at the Fermi level at 9.36 states/eV/cell. The value obtained for the formation energy (no corrections) is -6.6 eV/f.u. Its crystal system is orthorhombic.


No. 3
Density functional theory data (PBE) for crystalline SrCaV2N at its relaxed geometry.

Unit cell a=5.192 b=5.192 c=6.858 alpha=90.00 beta=90.00 gamma=90.00
Space group P4/mmm (No. 123)
Asymmetric unit:
Sr  0.000  0.000  0.000
Ca  0.000  0.000  0.500
V  0.000  0.500  0.500
N  0.500  0.500  0.000

The total magnetization is 8.5 μB/cell. The calculation puts the density of states at the Fermi level at 7.92 states/eV/cell. The value obtained for the formation energy (no corrections) is 12.7 eV/f.u. Its crystal system is tetragonal.